First-principles (PBE) data for a relaxed BaIr3Ru crystal, as listed in the Alexandria database.

Geometry as extended XYZ:
```
5
Lattice="4.9804 0.0000 0.0000 0.0000 4.9804 0.0000 0.0000 0.0000 4.9804" Properties=species:S:1:pos:R:3 pbc="T T T"
Ba 0.0000 0.0000 0.0000
Ir 0.0000 0.0000 2.4902
Ir 0.0000 2.4902 0.0000
Ir 2.4902 0.0000 0.0000
Ru 2.4902 2.4902 2.4902
```

Computed properties:
DOS at the Fermi energy	4.87	states/eV per atom
crystal system	cubic
calculated total energy	-20.894	eV/cell